Entry 1:
{
  "formula": "Pm5Nd4Ho",
  "functional": "GGA-PBE",
  "state": "relaxed",
  "dos_at_fermi_per_ev_atom": 1.431,
  "energy_ev_per_fu": -45.16,
  "formation_energy_mev_per_atom": 225,
  "lattice": [[-5.303, 5.303, 3.115], [5.303, -5.303, 3.115], [5.303, 5.303, -3.115]],
  "species": ["Pm", "Pm", "Pm", "Pm", "Pm", "Nd", "Nd", "Nd", "Nd", "Ho"],
  "frac_coords": [[0.000, 0.000, 0.000], [0.085, 0.085, 0.623], [0.085, 0.462, 0.000], [0.462, 0.085, 0.000], [0.462, 0.462, 0.377], [0.068, 0.743, 0.325], [0.419, 0.743, 0.675], [0.743, 0.068, 0.325], [0.743, 0.419, 0.675], [0.534, 0.534, 0.000]]
}

---

Entry 2:
{
  "formula": "Sr3DyY3Te8",
  "functional": "GGA-PBE",
  "state": "relaxed",
  "dos_at_fermi_per_ev_atom": 0.340,
  "energy_ev_per_fu": -77.08,
  "e_form_raw_ev_per_atom": -1.527,
  "lattice": [[4.443, 2.565, 7.629], [-4.443, 2.565, 7.629], [0.000, -5.131, 7.629]],
  "species": ["Sr", "Sr", "Sr", "Dy", "Y", "Y", "Y", "Te", "Te", "Te", "Te", "Te", "Te", "Te", "Te"],
  "frac_coords": [[0.000, 0.500, 0.500], [0.500, 0.000, 0.500], [0.500, 0.500, 0.000], [0.500, 0.500, 0.500], [0.000, 0.000, 0.500], [0.000, 0.500, 0.000], [0.500, 0.000, 0.000], [0.240, 0.745, 0.745], [0.244, 0.244, 0.244], [0.255, 0.255, 0.760], [0.255, 0.760, 0.255], [0.745, 0.240, 0.745], [0.745, 0.745, 0.240], [0.756, 0.756, 0.756], [0.760, 0.255, 0.255]]
}

---

Entry 3:
{
  "formula": "RbSnOs2Pd",
  "functional": "GGA-PBE",
  "state": "relaxed",
  "dos_at_fermi_per_ev_atom": 1.250,
  "energy_ev_per_fu": -15.87,
  "formation_energy_mev_per_atom": 3350,
  "lattice": [[4.775, 0.000, 0.000], [0.000, 4.775, 0.000], [0.000, 0.000, 5.536]],
  "species": ["Rb", "Sn", "Os", "Os", "Pd"],
  "frac_coords": [[0.000, 0.000, 0.000], [0.000, 0.000, 0.500], [0.000, 0.500, 0.000], [0.500, 0.000, 0.000], [0.500, 0.500, 0.500]]
}

---

no.,V (Å³/atom)
1,35.034
2,34.785
3,25.242